{
  "formula": "NaBe3Hg",
  "functional": "GGA-PBE",
  "state": "relaxed",
  "lattice_angstrom": [[4.519, 0.000, 0.000], [0.000, 4.519, 0.000], [0.000, 0.000, 4.519]],
  "species": ["Na", "Be", "Be", "Be", "Hg"],
  "frac_coords": [[0.000, 0.000, 0.000], [0.000, 0.000, 0.500], [0.000, 0.500, 0.000], [0.500, 0.000, 0.000], [0.500, 0.500, 0.500]],
  "ef_kj_per_mol_fu": 834,
  "dos_at_fermi_per_ev_fu": 1.568,
  "polymorph_energy_mev_per_atom": 993.3,
  "energy_ev_per_atom": -0.83,
  "mass_density_g_cm3": 4.5,
  "total_magnetization_mub_per_fu": 0.00
}

***

{
  "formula": "MnTlIn2Ge",
  "functional": "GGA-PBE",
  "state": "relaxed",
  "lattice_angstrom": [[5.121, 0.000, 0.000], [0.000, 5.121, 0.000], [0.000, 0.000, 4.618]],
  "species": ["Mn", "Tl", "In", "In", "Ge"],
  "frac_coords": [[0.000, 0.000, 0.000], [0.500, 0.500, 0.500], [0.000, 0.500, 0.000], [0.500, 0.000, 0.000], [0.000, 0.000, 0.500]],
  "ef_kj_per_mol_fu": 74,
  "dos_at_fermi_per_ev_fu": 0.953,
  "energy_ev_per_atom": -4.17,
  "mass_density_g_cm3": 7.7,
  "total_magnetization_mub_per_fu": 0.00
}

***

{
  "formula": "Nd8Co2Pb",
  "functional": "GGA-PBE",
  "state": "relaxed",
  "lattice_angstrom": [[4.372, -6.914, 0.000], [4.372, 6.914, 0.000], [-1.289, 0.000, 5.380]],
  "species": ["Nd", "Nd", "Nd", "Nd", "Nd", "Nd", "Nd", "Nd", "Co", "Co", "Pb"],
  "frac_coords": [[0.102, 0.102, 0.799], [0.169, 0.425, 0.438], [0.250, 0.750, 0.000], [0.425, 0.169, 0.438], [0.575, 0.831, 0.562], [0.750, 0.250, 0.000], [0.831, 0.575, 0.562], [0.898, 0.898, 0.201], [0.205, 0.795, 0.500], [0.795, 0.205, 0.500], [0.500, 0.500, 0.000]],
  "ef_kj_per_mol_fu": -80,
  "dos_at_fermi_per_ev_fu": 13.820,
  "energy_ev_per_atom": -5.17,
  "mass_density_g_cm3": 7.6,
  "total_magnetization_mub_per_fu": 0.00
}

***

{
  "formula": "TaAs2Cl",
  "functional": "GGA-PBE",
  "state": "relaxed",
  "lattice_angstrom": [[-2.073, 2.073, 4.131], [2.073, -2.073, 4.131], [2.073, 2.073, -4.131]],
  "species": ["Ta", "As", "As", "Cl"],
  "frac_coords": [[0.000, 0.000, 0.000], [0.250, 0.750, 0.500], [0.750, 0.250, 0.500], [0.500, 0.500, 0.000]],
  "dos_at_fermi_per_ev_fu": 2.881,
  "polymorph_energy_mev_per_atom": 649.2,
  "formation_energy_uncorrected_kj_per_mol_atoms": 28,
  "energy_ev_per_atom": -5.46,
  "mass_density_g_cm3": 8.6,
  "total_magnetization_mub_per_fu": 0.00
}

***

{
  "formula": "Mg2Fe2Os",
  "functional": "GGA-PBE",
  "state": "relaxed",
  "lattice_angstrom": [[5.958, 0.000, 0.000], [0.000, 5.958, 0.000], [0.000, 0.000, 4.269]],
  "species": ["Mg", "Mg", "Mg", "Mg", "Fe", "Fe", "Fe", "Fe", "Os", "Os"],
  "frac_coords": [[0.180, 0.320, 0.000], [0.320, 0.820, 0.000], [0.680, 0.180, 0.000], [0.820, 0.680, 0.000], [0.125, 0.625, 0.500], [0.375, 0.125, 0.500], [0.625, 0.875, 0.500], [0.875, 0.375, 0.500], [0.000, 0.000, 0.500], [0.500, 0.500, 0.500]],
  "ef_kj_per_mol_fu": 130,
  "dos_at_fermi_per_ev_fu": 3.777,
  "energy_ev_per_atom": -6.00,
  "mass_density_g_cm3": 7.7,
  "total_magnetization_mub_per_fu": 0.00
}

***

{
  "formula": "Na2CoP",
  "functional": "GGA-PBE",
  "state": "relaxed",
  "lattice_angstrom": [[-5.482, 5.482, 2.067], [5.482, -5.482, 2.067], [5.482, 5.482, -2.067]],
  "species": ["Na", "Na", "Na", "Na", "Co", "Co", "P", "P"],
  "frac_coords": [[0.375, 0.121, 0.246], [0.871, 0.625, 0.746], [0.875, 0.129, 0.754], [0.879, 0.125, 0.254], [0.000, 0.000, 0.000], [0.750, 0.250, 0.500], [0.250, 0.750, 0.500], [0.500, 0.500, 0.000]],
  "ef_kj_per_mol_fu": 1,
  "dos_at_fermi_per_ev_fu": 2.948,
  "energy_ev_per_atom": -3.79,
  "mass_density_g_cm3": 1.8,
  "total_magnetization_mub_per_fu": 0.01
}

***

{
  "formula": "La2Tl2Hg",
  "functional": "GGA-PBE",
  "state": "relaxed",
  "lattice_angstrom": [[5.895, -2.483, 0.000], [5.895, 2.483, 0.000], [-5.193, 0.000, 10.461]],
  "species": ["La", "La", "La", "La", "Tl", "Tl", "Tl", "Tl", "Hg", "Hg"],
  "frac_coords": [[0.022, 0.022, 0.334], [0.178, 0.178, 0.101], [0.822, 0.822, 0.899], [0.978, 0.978, 0.666], [0.355, 0.355, 0.449], [0.462, 0.462, 0.113], [0.538, 0.538, 0.887], [0.645, 0.645, 0.551], [0.272, 0.272, 0.681], [0.728, 0.728, 0.319]],
  "ef_kj_per_mol_fu": -191,
  "dos_at_fermi_per_ev_fu": 3.463,
  "polymorph_energy_mev_per_atom": 0.0,
  "energy_ev_per_atom": -3.37,
  "mass_density_g_cm3": 9.6,
  "total_magnetization_mub_per_fu": 0.00
}

***

{
  "formula": "Dy2Si5Ir3",
  "functional": "GGA-PBE",
  "state": "relaxed",
  "lattice_angstrom": [[5.775, -5.732, 0.000], [5.775, 5.732, 0.000], [-2.919, 0.000, 5.044]],
  "species": ["Dy", "Dy", "Dy", "Dy", "Si", "Si", "Si", "Si", "Si", "Si", "Si", "Si", "Si", "Si", "Ir", "Ir", "Ir", "Ir", "Ir", "Ir"],
  "frac_coords": [[0.099, 0.360, 0.229], [0.360, 0.099, 0.729], [0.640, 0.901, 0.271], [0.901, 0.640, 0.771], [0.001, 0.999, 0.750], [0.238, 0.451, 0.844], [0.274, 0.726, 0.750], [0.275, 0.725, 0.250], [0.451, 0.238, 0.344], [0.549, 0.762, 0.656], [0.725, 0.275, 0.750], [0.726, 0.274, 0.250], [0.762, 0.549, 0.156], [0.999, 0.001, 0.250], [0.026, 0.746, 0.385], [0.254, 0.974, 0.115], [0.500, 0.500, 0.250], [0.500, 0.500, 0.750], [0.746, 0.026, 0.885], [0.974, 0.254, 0.615]],
  "dos_at_fermi_per_ev_fu": 4.228,
  "formation_energy_uncorrected_kj_per_mol_atoms": -94,
  "energy_ev_per_atom": -7.27,
  "mass_density_g_cm3": 10.4,
  "total_magnetization_mub_per_fu": 0.00
}

***

{
  "formula": "Er2PtPb",
  "functional": "GGA-PBE",
  "state": "relaxed",
  "lattice_angstrom": [[4.953, 0.000, 0.000], [0.000, 4.953, 0.000], [0.000, 0.000, 3.909]],
  "species": ["Er", "Er", "Pt", "Pb"],
  "frac_coords": [[0.000, 0.500, 0.000], [0.500, 0.000, 0.000], [0.000, 0.000, 0.500], [0.500, 0.500, 0.500]],
  "ef_kj_per_mol_fu": -280,
  "dos_at_fermi_per_ev_fu": 1.846,
  "energy_ev_per_atom": -5.44,
  "mass_density_g_cm3": 12.8,
  "total_magnetization_mub_per_fu": 0.00
}

***

{
  "formula": "CaAcSm",
  "functional": "GGA-PBE",
  "state": "relaxed",
  "lattice_angstrom": [[3.841, 0.000, 0.000], [-1.920, 3.326, 0.000], [0.000, 0.000, 9.395]],
  "species": ["Ca", "Ac", "Sm"],
  "frac_coords": [[0.000, 0.000, 0.000], [0.333, 0.667, 0.645], [0.667, 0.333, 0.329]],
  "ef_kj_per_mol_fu": 14,
  "dos_at_fermi_per_ev_fu": 3.826,
  "polymorph_energy_mev_per_atom": 6.3,
  "energy_ev_per_atom": -3.56,
  "mass_density_g_cm3": 5.8,
  "total_magnetization_mub_per_fu": 0.00
}

***

{
  "formula": "K3Li2Au9",
  "functional": "GGA-PBE",
  "state": "relaxed",
  "lattice_angstrom": [[-2.324, 5.577, 6.923], [2.324, -5.577, 6.923], [2.324, 5.577, -6.923]],
  "species": ["K", "K", "K", "Li", "Li", "Au", "Au", "Au", "Au", "Au", "Au", "Au", "Au", "Au"],
  "frac_coords": [[0.000, 0.000, 0.000], [0.289, 0.289, 0.000], [0.711, 0.711, 0.000], [0.296, 0.500, 0.796], [0.704, 0.500, 0.204], [0.019, 0.306, 0.713], [0.182, 0.899, 0.283], [0.384, 0.101, 0.283], [0.408, 0.694, 0.713], [0.500, 0.000, 0.500], [0.592, 0.306, 0.287], [0.616, 0.899, 0.717], [0.818, 0.101, 0.717], [0.981, 0.694, 0.287]],
  "ef_kj_per_mol_fu": -410,
  "dos_at_fermi_per_ev_fu": 3.447,
  "energy_ev_per_atom": -2.92,
  "mass_density_g_cm3": 8.8,
  "total_magnetization_mub_per_fu": 0.00
}

***

{
  "formula": "Y3HoBi2",
  "functional": "GGA-PBE",
  "state": "relaxed",
  "lattice_angstrom": [[8.558, -2.184, 0.000], [8.558, 2.184, 0.000], [-5.662, 0.000, 10.740]],
  "species": ["Y", "Y", "Y", "Y", "Y", "Y", "Ho", "Ho", "Bi", "Bi", "Bi", "Bi"],
  "frac_coords": [[0.057, 0.057, 0.222], [0.241, 0.241, 0.645], [0.385, 0.385, 0.979], [0.615, 0.615, 0.021], [0.759, 0.759, 0.355], [0.943, 0.943, 0.778], [0.419, 0.419, 0.326], [0.581, 0.581, 0.674], [0.162, 0.162, 0.864], [0.380, 0.380, 0.552], [0.620, 0.620, 0.448], [0.838, 0.838, 0.136]],
  "ef_kj_per_mol_fu": -227,
  "dos_at_fermi_per_ev_fu": 6.276,
  "polymorph_energy_mev_per_atom": 233.1,
  "energy_ev_per_atom": -5.68,
  "mass_density_g_cm3": 7.0,
  "total_magnetization_mub_per_fu": 0.00
}